Record 1
The following is a DFT calculation (PBE) of a relaxed HfReH3 crystal.

```
data_HfReH3
_chemical_formula_sum 'Hf1 Re1 H3'
_symmetry_space_group_name_H-M 'P m -3 m'
_symmetry_Int_Tables_number 221
_symmetry_space_group_name_Hall '-P 4 2 3'
_cell_length_a 3.5524
_cell_length_b 3.5524
_cell_length_c 3.5524
_cell_angle_alpha 90.00
_cell_angle_beta 90.00
_cell_angle_gamma 90.00
loop_
_atom_site_label
_atom_site_fract_x
_atom_site_fract_y
_atom_site_fract_z
Hf1 0.0000 0.0000 0.0000
Re1 0.5000 0.5000 0.5000
H1 0.0000 0.5000 0.5000
```

Computed properties:
The calculation puts the calculated density at 13.621 g/cm³. The total energy is -31.998 eV/cell.

***

Record 2
The following is a DFT calculation (PBE) of a relaxed TaCo2Au crystal.

```
data_TaCo2Au
_chemical_formula_sum 'Ta3 Co6 Au3'
_symmetry_space_group_name_H-M 'R 3 m'
_symmetry_Int_Tables_number 160
_symmetry_space_group_name_Hall 'R 3 -2"'
_cell_length_a 2.8108
_cell_length_b 2.8108
_cell_length_c 26.1524
_cell_angle_alpha 90.00
_cell_angle_beta 90.00
_cell_angle_gamma 120.00
loop_
_atom_site_label
_atom_site_fract_x
_atom_site_fract_y
_atom_site_fract_z
Ta1 0.0000 0.0000 0.0000
Co1 0.0000 0.0000 0.2487
Co2 0.0000 0.0000 0.5138
Au1 0.0000 0.0000 0.7614
```

Computed properties:
The calculation puts the calculated density at 13.803 g/cm³. The calculation puts the formation energy at 0.258 eV per atom. The total energy is -84.925 eV/cell. For the distance to the lowest polymorph of the same formula, the calculation gives 357 meV/atom.

***

Record 3
The following is a DFT calculation (PBE) of a relaxed YPW crystal.

```
data_YPW
_chemical_formula_sum 'Y4 P4 W4'
_symmetry_space_group_name_H-M 'F -4 3 m'
_symmetry_Int_Tables_number 216
_symmetry_space_group_name_Hall 'F -4 2 3'
_cell_length_a 6.5889
_cell_length_b 6.5889
_cell_length_c 6.5889
_cell_angle_alpha 90.00
_cell_angle_beta 90.00
_cell_angle_gamma 90.00
loop_
_atom_site_label
_atom_site_fract_x
_atom_site_fract_y
_atom_site_fract_z
Y1 0.0000 0.0000 0.0000
P1 0.2500 0.2500 0.2500
W1 0.2500 0.2500 0.7500
```

Computed properties:
The calculation puts the calculated density at 7.052 g/cm³. The calculation puts the formation energy at 1.281 eV per atom. The total energy is -83.939 eV/cell. For the distance to the lowest polymorph of the same formula, the calculation gives 1931 meV/atom.

***

Record 4
The following is a DFT calculation (PBE) of a relaxed MoS3 crystal.

```
data_MoS3
_chemical_formula_sum 'Mo2 S6'
_symmetry_space_group_name_H-M 'P 1 21/m 1'
_symmetry_Int_Tables_number 11
_cell_length_a 7.0051
_cell_length_b 4.4485
_cell_length_c 7.6363
_cell_angle_alpha 90.00
_cell_angle_beta 110.29
_cell_angle_gamma 90.00
loop_
_symmetry_equiv_pos_as_xyz
'x,y,z'
'-x,-y,-z'
'-x,y+1/2,-z'
'x,-y+1/2,z'
loop_
_atom_site_label
_atom_site_fract_x
_atom_site_fract_y
_atom_site_fract_z
Mo1 0.1983 0.2500 0.2058
S1 0.0533 0.7500 0.1257
S2 0.2123 0.2500 0.4896
S3 0.4992 0.7500 0.7953
```

Computed properties:
The calculation puts the calculated density at 2.859 g/cm³. The raw formation energy comes out at -0.240 eV per atom. The total energy is -48.344 eV/cell.

***

Record 5
The following is a DFT calculation (PBE) of a relaxed ScTcRh2 crystal.

```
data_ScTcRh2
_chemical_formula_sum 'Sc4 Tc4 Rh8'
_symmetry_space_group_name_H-M 'F m -3 m'
_symmetry_Int_Tables_number 225
_symmetry_space_group_name_Hall '-F 4 2 3'
_cell_length_a 6.3559
_cell_length_b 6.3559
_cell_length_c 6.3559
_cell_angle_alpha 90.00
_cell_angle_beta 90.00
_cell_angle_gamma 90.00
loop_
_atom_site_label
_atom_site_fract_x
_atom_site_fract_y
_atom_site_fract_z
Sc1 0.0000 0.0000 0.0000
Tc1 0.0000 0.0000 0.5000
Rh1 0.2500 0.2500 0.2500
```

Computed properties:
The calculation puts the calculated density at 9.022 g/cm³. The calculation puts the formation energy at -0.237 eV per atom. The total energy is -129.396 eV/cell. For the distance to the lowest polymorph of the same formula, the calculation gives 156 meV/atom.

***

Record 6
The following is a DFT calculation (PBE) of a relaxed AgBrCl crystal.

```
data_AgBrCl
_chemical_formula_sum 'Ag1 Br1 Cl1'
_symmetry_space_group_name_H-M 'P 3 m 1'
_symmetry_Int_Tables_number 156
_cell_length_a 3.9477
_cell_length_b 3.9477
_cell_length_c 5.8992
_cell_angle_alpha 90.00
_cell_angle_beta 90.00
_cell_angle_gamma 120.00
loop_
_symmetry_equiv_pos_as_xyz
'x,y,z'
'-y,x-y,z'
'-x+y,-x,z'
'-y,-x,z'
'-x+y,y,z'
'x,x-y,z'
loop_
_atom_site_label
_atom_site_fract_x
_atom_site_fract_y
_atom_site_fract_z
Ag1 0.0000 0.0000 0.0000
Br1 0.3333 0.6667 0.2672
Cl1 0.6667 0.3333 0.7712
```

Computed properties:
The calculation puts the calculated density at 4.656 g/cm³. The raw formation energy comes out at -0.202 eV per atom. The total energy is -6.978 eV/cell. For the distance to the lowest polymorph of the same formula, the calculation gives 77 meV/atom.

***

Record 7
The following is a DFT calculation (PBE) of a relaxed CsAgP crystal.

```
data_CsAgP
_chemical_formula_sum 'Cs1 Ag1 P1'
_symmetry_space_group_name_H-M 'P -6 m 2'
_symmetry_Int_Tables_number 187
_symmetry_space_group_name_Hall 'P -6 2'
_cell_length_a 4.2752
_cell_length_b 4.2752
_cell_length_c 5.8391
_cell_angle_alpha 90.00
_cell_angle_beta 90.00
_cell_angle_gamma 120.00
loop_
_atom_site_label
_atom_site_fract_x
_atom_site_fract_y
_atom_site_fract_z
Cs1 0.0000 0.0000 0.0000
Ag1 0.6667 0.3333 0.5000
P1 0.3333 0.6667 0.5000
```

Computed properties:
The calculation puts the calculated density at 4.882 g/cm³. The calculation puts the formation energy at -0.098 eV per atom. The total energy is -9.408 eV/cell. For the distance to the lowest polymorph of the same formula, the calculation gives 89 meV/atom.

***

Record 8
The following is a DFT calculation (PBE) of a relaxed Cs2BCl crystal.

```
data_Cs2BCl
_chemical_formula_sum 'Cs8 B4 Cl4'
_symmetry_space_group_name_H-M 'F m -3 m'
_symmetry_Int_Tables_number 225
_symmetry_space_group_name_Hall '-F 4 2 3'
_cell_length_a 8.4593
_cell_length_b 8.4593
_cell_length_c 8.4593
_cell_angle_alpha 90.00
_cell_angle_beta 90.00
_cell_angle_gamma 90.00
loop_
_atom_site_label
_atom_site_fract_x
_atom_site_fract_y
_atom_site_fract_z
Cs1 0.2500 0.2500 0.2500
B1 0.0000 0.0000 0.0000
Cl1 0.0000 0.0000 0.5000
```

Computed properties:
The calculation puts the calculated density at 3.424 g/cm³. The raw formation energy comes out at 0.151 eV per atom. The total energy is -38.504 eV/cell. For the distance to the lowest polymorph of the same formula, the calculation gives 0 meV/atom.

***

Record 9
The following is a DFT calculation (PBE) of a relaxed Pm3GaOs crystal.

```
data_Pm3GaOs
_chemical_formula_sum 'Pm24 Ga8 Os8'
_symmetry_space_group_name_H-M 'F m m m'
_symmetry_Int_Tables_number 69
_symmetry_space_group_name_Hall '-F 2 2'
_cell_length_a 6.5838
_cell_length_b 9.7149
_cell_length_c 16.0540
_cell_angle_alpha 90.00
_cell_angle_beta 90.00
_cell_angle_gamma 90.00
loop_
_atom_site_label
_atom_site_fract_x
_atom_site_fract_y
_atom_site_fract_z
Pm1 0.0000 0.0000 0.1969
Pm2 0.0000 0.1891 0.3960
Ga1 0.1904 0.0000 0.0000
Os1 0.2500 0.2500 0.2500
```

Computed properties:
The calculation puts the calculated density at 8.991 g/cm³. The calculation puts the formation energy at -0.296 eV per atom. The total energy is -239.913 eV/cell. For the distance to the lowest polymorph of the same formula, the calculation gives 0 meV/atom.

***

Record 10
The following is a DFT calculation (PBE) of a relaxed HfVFeC2 crystal.

```
data_HfVFeC2
_chemical_formula_sum 'Hf1 V1 Fe1 C2'
_symmetry_space_group_name_H-M 'P 4/m m m'
_symmetry_Int_Tables_number 123
_symmetry_space_group_name_Hall '-P 4 2'
_cell_length_a 4.1550
_cell_length_b 4.1550
_cell_length_c 4.7261
_cell_angle_alpha 90.00
_cell_angle_beta 90.00
_cell_angle_gamma 90.00
loop_
_atom_site_label
_atom_site_fract_x
_atom_site_fract_y
_atom_site_fract_z
Hf1 0.0000 0.0000 0.0000
V1 0.5000 0.5000 0.5000
Fe1 0.0000 0.0000 0.5000
C1 0.0000 0.5000 0.0000
```

Computed properties:
The calculation puts the calculated density at 6.295 g/cm³. The calculation puts the formation energy at 2.128 eV per atom. The total energy is -35.343 eV/cell.

***

Record 11
The following is a DFT calculation (PBE) of a relaxed BaLiNd crystal.

```
data_BaLiNd
_chemical_formula_sum 'Ba8 Li8 Nd8'
_symmetry_space_group_name_H-M 'C 1 2/m 1'
_symmetry_Int_Tables_number 12
_cell_length_a 19.8570
_cell_length_b 3.7895
_cell_length_c 12.6238
_cell_angle_alpha 90.00
_cell_angle_beta 102.56
_cell_angle_gamma 90.00
loop_
_symmetry_equiv_pos_as_xyz
'x,y,z'
'-x,-y,-z'
'-x,y,-z'
'x,-y,z'
'x+1/2,y+1/2,z'
'-x+1/2,-y+1/2,-z'
'-x+1/2,y+1/2,-z'
'x+1/2,-y+1/2,z'
loop_
_atom_site_label
_atom_site_fract_x
_atom_site_fract_y
_atom_site_fract_z
Ba1 0.0682 0.0000 0.3937
Ba2 0.0764 0.5000 0.8968
Li1 0.1073 0.5000 0.1726
Li2 0.1160 0.5000 0.6461
Nd1 0.2345 0.0000 0.1219
Nd2 0.2489 0.5000 0.3771
```

Computed properties:
The calculation puts the calculated density at 4.134 g/cm³. The calculation puts the formation energy at 0.186 eV per atom. The total energy is -64.381 eV/cell. For the distance to the lowest polymorph of the same formula, the calculation gives 5 meV/atom.

***

Record 12
The following is a DFT calculation (PBE) of a relaxed Tb7Ho3Er2 crystal.

```
data_Tb7Ho3Er2
_chemical_formula_sum 'Tb7 Ho3 Er2'
_symmetry_space_group_name_H-M 'P -1'
_symmetry_Int_Tables_number 2
_cell_length_a 5.4764
_cell_length_b 6.1712
_cell_length_c 11.9368
_cell_angle_alpha 88.67
_cell_angle_beta 89.98
_cell_angle_gamma 89.88
loop_
_symmetry_equiv_pos_as_xyz
'x,y,z'
'-x,-y,-z'
loop_
_atom_site_label
_atom_site_fract_x
_atom_site_fract_y
_atom_site_fract_z
Tb1 0.0000 0.0000 0.0000
Tb2 0.0001 0.4383 0.8186
Tb3 0.4985 0.2387 0.5467
Tb4 0.4999 0.0899 0.8315
Ho1 0.0002 0.0571 0.3396
Ho2 0.5000 0.5000 0.0000
Er1 0.4999 0.3871 0.2778
```

Computed properties:
The calculation puts the calculated density at 7.995 g/cm³. The calculation puts the formation energy at 0.308 eV per atom. The total energy is -51.580 eV/cell. For the distance to the lowest polymorph of the same formula, the calculation gives 218 meV/atom.

***

Record 13
The following is a DFT calculation (PBE) of a relaxed LaTaSb3 crystal.

```
data_LaTaSb3
_chemical_formula_sum 'La1 Ta1 Sb3'
_symmetry_space_group_name_H-M 'P m -3 m'
_symmetry_Int_Tables_number 221
_symmetry_space_group_name_Hall '-P 4 2 3'
_cell_length_a 5.7973
_cell_length_b 5.7973
_cell_length_c 5.7973
_cell_angle_alpha 90.00
_cell_angle_beta 90.00
_cell_angle_gamma 90.00
loop_
_atom_site_label
_atom_site_fract_x
_atom_site_fract_y
_atom_site_fract_z
La1 0.0000 0.0000 0.0000
Ta1 0.5000 0.5000 0.5000
Sb1 0.0000 0.0000 0.5000
```

Computed properties:
The calculation puts the calculated density at 5.839 g/cm³. The raw formation energy comes out at 1.649 eV per atom. The total energy is -20.900 eV/cell. For the distance to the lowest polymorph of the same formula, the calculation gives 1728 meV/atom.

***

Record 14
The following is a DFT calculation (PBE) of a relaxed InSn2HgRh crystal.

```
data_InSn2HgRh
_chemical_formula_sum 'In1 Sn2 Hg1 Rh1'
_symmetry_space_group_name_H-M 'P 4/m m m'
_symmetry_Int_Tables_number 123
_symmetry_space_group_name_Hall '-P 4 2'
_cell_length_a 5.1414
_cell_length_b 5.1414
_cell_length_c 5.1850
_cell_angle_alpha 90.00
_cell_angle_beta 90.00
_cell_angle_gamma 90.00
loop_
_atom_site_label
_atom_site_fract_x
_atom_site_fract_y
_atom_site_fract_z
In1 0.0000 0.0000 0.0000
Sn1 0.0000 0.5000 0.5000
Hg1 0.5000 0.5000 0.0000
Rh1 0.0000 0.0000 0.5000
```

Computed properties:
The calculation puts the calculated density at 7.944 g/cm³. The calculation puts the formation energy at -0.071 eV per atom. The total energy is -18.754 eV/cell.